Record 1
# YAu2Br GGA-PBE relaxed
# ΔE_f (raw)   -0.46 eV per atom
# ΔE to the lowest computed polymorph   345.2 meV/atom
data_YAu2Br
_space_group_name_H-M_alt 'P 1'
_space_group_IT_number 1
_space_group_name_Hall 'P 1'
_cell_length_a 5.089
_cell_length_b 5.089
_cell_length_c 5.089
_cell_angle_alpha 60.00
_cell_angle_beta 60.00
_cell_angle_gamma 60.00
loop_
_atom_site_label
_atom_site_fract_x
_atom_site_fract_y
_atom_site_fract_z
_atom_site_occupancy
Y1 0.000 0.000 0.000 1
Au1 0.250 0.250 0.250 1
Au2 0.750 0.750 0.750 1
Br1 0.500 0.500 0.500 1


Record 2
# YAu2Br GGA-PBE relaxed
# ΔE_f (raw)   -0.63 eV per atom
# ΔE to the lowest computed polymorph   179.6 meV/atom
data_YAu2Br
_space_group_name_H-M_alt 'P 1'
_space_group_IT_number 1
_space_group_name_Hall 'P 1'
_cell_length_a 6.178
_cell_length_b 6.178
_cell_length_c 4.818
_cell_angle_alpha 112.83
_cell_angle_beta 112.83
_cell_angle_gamma 33.69
loop_
_atom_site_label
_atom_site_fract_x
_atom_site_fract_y
_atom_site_fract_z
_atom_site_occupancy
Y1 0.000 0.000 0.000 1
Au1 0.277 0.277 0.778 1
Au2 0.723 0.723 0.222 1
Br1 0.500 0.500 0.500 1


Record 3
# YAuBr2 GGA-PBE relaxed
# ΔE_f (raw)   -0.28 eV per atom
# ΔE to the lowest computed polymorph   924.1 meV/atom
data_YAuBr2
_space_group_name_H-M_alt 'P 1'
_space_group_IT_number 1
_space_group_name_Hall 'P 1'
_cell_length_a 9.251
_cell_length_b 9.251
_cell_length_c 9.251
_cell_angle_alpha 24.87
_cell_angle_beta 24.87
_cell_angle_gamma 24.87
loop_
_atom_site_label
_atom_site_fract_x
_atom_site_fract_y
_atom_site_fract_z
_atom_site_occupancy
Y1 0.000 0.000 0.000 1
Au1 0.500 0.500 0.500 1
Br1 0.103 0.103 0.103 1
Br2 0.897 0.897 0.897 1


Record 4
# YAuBr GGA-PBE relaxed
# ΔE_f (raw)   -0.50 eV per atom
# ΔE to the lowest computed polymorph   668.3 meV/atom
data_YAuBr
_space_group_name_H-M_alt 'P 1'
_space_group_IT_number 1
_space_group_name_Hall 'P 1'
_cell_length_a 4.923
_cell_length_b 4.923
_cell_length_c 4.923
_cell_angle_alpha 60.00
_cell_angle_beta 60.00
_cell_angle_gamma 60.00
loop_
_atom_site_label
_atom_site_fract_x
_atom_site_fract_y
_atom_site_fract_z
_atom_site_occupancy
Y1 0.000 0.000 0.000 1
Au1 0.750 0.750 0.750 1
Br1 0.500 0.500 0.500 1


Record 5
# Y2AuBr GGA-PBE relaxed
# ΔE_f (raw)   -0.73 eV per atom
# ΔE to the lowest computed polymorph   220.2 meV/atom
data_Y2AuBr
_space_group_name_H-M_alt 'P 1'
_space_group_IT_number 1
_space_group_name_Hall 'P 1'
_cell_length_a 5.373
_cell_length_b 5.373
_cell_length_c 5.373
_cell_angle_alpha 131.50
_cell_angle_beta 115.64
_cell_angle_gamma 84.54
loop_
_atom_site_label
_atom_site_fract_x
_atom_site_fract_y
_atom_site_fract_z
_atom_site_occupancy
Y1 0.246 0.246 0.000 1
Y2 0.754 0.754 0.000 1
Au1 0.500 0.000 0.500 1
Br1 0.000 0.500 0.500 1


Record 6
# Y2AuBr GGA-PBE relaxed
# ΔE_f (raw)   0.02 eV per atom
# ΔE to the lowest computed polymorph   966.6 meV/atom
data_Y2AuBr
_space_group_name_H-M_alt 'P 1'
_space_group_IT_number 1
_space_group_name_Hall 'P 1'
_cell_length_a 5.280
_cell_length_b 5.280
_cell_length_c 5.280
_cell_angle_alpha 60.00
_cell_angle_beta 60.00
_cell_angle_gamma 60.00
loop_
_atom_site_label
_atom_site_fract_x
_atom_site_fract_y
_atom_site_fract_z
_atom_site_occupancy
Y1 0.000 0.000 0.000 1
Y2 0.250 0.250 0.250 1
Au1 0.500 0.500 0.500 1
Br1 0.750 0.750 0.750 1


Record 7
# YAuBr4 GGA-PBE relaxed
# ΔE_f (raw)   0.12 eV per atom
data_YAuBr4
_space_group_name_H-M_alt 'P 1'
_space_group_IT_number 1
_space_group_name_Hall 'P 1'
_cell_length_a 6.106
_cell_length_b 6.106
_cell_length_c 6.106
_cell_angle_alpha 60.00
_cell_angle_beta 60.00
_cell_angle_gamma 60.00
loop_
_atom_site_label
_atom_site_fract_x
_atom_site_fract_y
_atom_site_fract_z
_atom_site_occupancy
Y1 0.000 0.000 0.000 1
Au1 0.750 0.750 0.750 1
Br1 0.375 0.375 0.375 1
Br2 0.375 0.375 0.875 1
Br3 0.375 0.875 0.375 1
Br4 0.875 0.375 0.375 1


Record 8
# YAuBr2 GGA-PBE relaxed
# ΔE_f (raw)   -0.76 eV per atom
# ΔE to the lowest computed polymorph   440.0 meV/atom
data_YAuBr2
_space_group_name_H-M_alt 'P 1'
_space_group_IT_number 1
_space_group_name_Hall 'P 1'
_cell_length_a 10.165
_cell_length_b 10.165
_cell_length_c 10.165
_cell_angle_alpha 20.98
_cell_angle_beta 20.98
_cell_angle_gamma 20.98
loop_
_atom_site_label
_atom_site_fract_x
_atom_site_fract_y
_atom_site_fract_z
_atom_site_occupancy
Y1 0.000 0.000 0.000 1
Au1 0.500 0.500 0.500 1
Br1 0.397 0.397 0.397 1
Br2 0.603 0.603 0.603 1


Record 9
# Y2AuBr GGA-PBE relaxed
# ΔE_f (raw)   -0.70 eV per atom
# ΔE to the lowest computed polymorph   254.0 meV/atom
data_Y2AuBr
_space_group_name_H-M_alt 'P 1'
_space_group_IT_number 1
_space_group_name_Hall 'P 1'
_cell_length_a 5.180
_cell_length_b 5.180
_cell_length_c 5.180
_cell_angle_alpha 60.00
_cell_angle_beta 60.00
_cell_angle_gamma 60.00
loop_
_atom_site_label
_atom_site_fract_x
_atom_site_fract_y
_atom_site_fract_z
_atom_site_occupancy
Y1 0.250 0.250 0.250 1
Y2 0.750 0.750 0.750 1
Au1 0.000 0.000 0.000 1
Br1 0.500 0.500 0.500 1


Record 10
# Y2AuBr GGA-PBE relaxed
# ΔE_f (raw)   -0.95 eV per atom
# ΔE to the lowest computed polymorph   0.0 meV/atom
data_Y2AuBr
_space_group_name_H-M_alt 'P 1'
_space_group_IT_number 1
_space_group_name_Hall 'P 1'
_cell_length_a 7.963
_cell_length_b 7.963
_cell_length_c 7.963
_cell_angle_alpha 29.98
_cell_angle_beta 29.98
_cell_angle_gamma 29.98
loop_
_atom_site_label
_atom_site_fract_x
_atom_site_fract_y
_atom_site_fract_z
_atom_site_occupancy
Y1 0.237 0.237 0.237 1
Y2 0.763 0.763 0.763 1
Au1 0.500 0.500 0.500 1
Br1 0.000 0.000 0.000 1


Record 11
# YAuBr2 GGA-PBE relaxed
# ΔE_f (raw)   -1.20 eV per atom
# ΔE to the lowest computed polymorph   0.0 meV/atom
data_YAuBr2
_space_group_name_H-M_alt 'P 1'
_space_group_IT_number 1
_space_group_name_Hall 'P 1'
_cell_length_a 6.168
_cell_length_b 6.168
_cell_length_c 7.555
_cell_angle_alpha 118.11
_cell_angle_beta 118.11
_cell_angle_gamma 35.22
loop_
_atom_site_label
_atom_site_fract_x
_atom_site_fract_y
_atom_site_fract_z
_atom_site_occupancy
Y1 0.000 0.000 0.000 1
Au1 0.706 0.706 0.075 1
Br1 0.343 0.343 0.697 1
Br2 0.479 0.479 0.268 1


Record 12
# YAuBr2 GGA-PBE relaxed
# ΔE_f (raw)   -1.17 eV per atom
# ΔE to the lowest computed polymorph   33.8 meV/atom
data_YAuBr2
_space_group_name_H-M_alt 'P 1'
_space_group_IT_number 1
_space_group_name_Hall 'P 1'
_cell_length_a 4.086
_cell_length_b 3.781
_cell_length_c 8.565
_cell_angle_alpha 90.00
_cell_angle_beta 103.75
_cell_angle_gamma 90.00
loop_
_atom_site_label
_atom_site_fract_x
_atom_site_fract_y
_atom_site_fract_z
_atom_site_occupancy
Y1 0.000 0.000 0.000 1
Au1 0.427 0.500 0.854 1
Br1 0.123 0.500 0.251 1
Br2 0.833 0.000 0.668 1


Record 13
# YAuBr GGA-PBE relaxed
# ΔE_f (raw)   -1.16 eV per atom
# ΔE to the lowest computed polymorph   0.0 meV/atom
data_YAuBr
_space_group_name_H-M_alt 'P 1'
_space_group_IT_number 1
_space_group_name_Hall 'P 1'
_cell_length_a 11.496
_cell_length_b 11.496
_cell_length_c 3.750
_cell_angle_alpha 98.84
_cell_angle_beta 98.84
_cell_angle_gamma 24.22
loop_
_atom_site_label
_atom_site_fract_x
_atom_site_fract_y
_atom_site_fract_z
_atom_site_occupancy
Y1 0.179 0.179 0.433 1
Y2 0.821 0.821 0.567 1
Au1 0.285 0.285 0.033 1
Au2 0.715 0.715 0.967 1
Br1 0.084 0.084 0.844 1
Br2 0.916 0.916 0.156 1


Record 14
# YAuBr2 GGA-PBE relaxed
# ΔE_f (raw)   -0.76 eV per atom
# ΔE to the lowest computed polymorph   446.4 meV/atom
data_YAuBr2
_space_group_name_H-M_alt 'P 1'
_space_group_IT_number 1
_space_group_name_Hall 'P 1'
_cell_length_a 10.099
_cell_length_b 10.099
_cell_length_c 10.099
_cell_angle_alpha 21.16
_cell_angle_beta 21.16
_cell_angle_gamma 21.16
loop_
_atom_site_label
_atom_site_fract_x
_atom_site_fract_y
_atom_site_fract_z
_atom_site_occupancy
Y1 0.000 0.000 0.000 1
Au1 0.500 0.500 0.500 1
Br1 0.270 0.270 0.270 1
Br2 0.730 0.730 0.730 1


Record 15
# YAuBr2 GGA-PBE relaxed
# ΔE_f (raw)   -1.02 eV per atom
# ΔE to the lowest computed polymorph   177.0 meV/atom
data_YAuBr2
_space_group_name_H-M_alt 'P 1'
_space_group_IT_number 1
_space_group_name_Hall 'P 1'
_cell_length_a 7.388
_cell_length_b 7.388
_cell_length_c 7.388
_cell_angle_alpha 151.32
_cell_angle_beta 138.04
_cell_angle_gamma 51.61
loop_
_atom_site_label
_atom_site_fract_x
_atom_site_fract_y
_atom_site_fract_z
_atom_site_occupancy
Y1 0.000 0.000 0.000 1
Au1 0.165 0.665 0.500 1
Br1 0.508 0.508 0.000 1
Br2 0.835 0.335 0.500 1